No. 1
# Na2PuPaO6, optimized geometry, DFT GGA-PBE
# - ΔE_f (raw) (kJ/mol of atoms) = -269.2
# - total magnetization (μB/f.u.) = 3.00
data_Na2PuPaO6
_chemical_formula_sum 'Na4 Pu2 Pa2 O12'
_cell_length_a 5.8228
_cell_length_b 5.9648
_cell_length_c 8.3580
_cell_angle_alpha 90.00
_cell_angle_beta 90.20
_cell_angle_gamma 90.00
_symmetry_space_group_name_H-M 'P 1'
_symmetry_Int_Tables_number 1
_symmetry_space_group_name_Hall 'P 1'
loop_
_atom_site_label
_atom_site_type_symbol
_atom_site_fract_x
_atom_site_fract_y
_atom_site_fract_z
_atom_site_occupancy
Na1 Na 0.0060 0.9683 0.2501 1
Na2 Na 0.5060 0.5317 0.7501 1
Na3 Na 0.9940 0.0317 0.7499 1
Na4 Na 0.4940 0.4683 0.2499 1
O1 O 0.0939 0.4680 0.7509 1
O2 O 0.6966 0.2949 0.5493 1
O3 O 0.8034 0.7949 0.9507 1
O4 O 0.3034 0.7051 0.4507 1
O5 O 0.2970 0.6998 0.0492 1
O6 O 0.2030 0.1998 0.4508 1
O7 O 0.1966 0.2051 0.0493 1
O8 O 0.7030 0.3002 0.9508 1
O9 O 0.7970 0.8002 0.5492 1
O10 O 0.4061 0.9680 0.7491 1
O11 O 0.9061 0.5320 0.2491 1
O12 O 0.5939 0.0320 0.2509 1
Pa1 Pa 0.0000 0.5000 0.5000 1
Pa2 Pa 0.5000 0.0000 0.0000 1
Pu1 Pu 0.0000 0.5000 0.0000 1
Pu2 Pu 0.5000 0.0000 0.5000 1

=====

No. 2
# TbCe2Zn, optimized geometry, DFT GGA-PBE
# - total magnetization (μB/f.u.) = 1.15
# - ΔH_f (0 K) (eV/atom) = -0.0070
data_TbCe2Zn
_chemical_formula_sum 'Tb1 Ce2 Zn1'
_cell_length_a 3.7211
_cell_length_b 3.7211
_cell_length_c 7.9617
_cell_angle_alpha 90.00
_cell_angle_beta 90.00
_cell_angle_gamma 90.00
_symmetry_space_group_name_H-M 'P 1'
_symmetry_Int_Tables_number 1
_symmetry_space_group_name_Hall 'P 1'
loop_
_atom_site_label
_atom_site_type_symbol
_atom_site_fract_x
_atom_site_fract_y
_atom_site_fract_z
_atom_site_occupancy
Ce1 Ce 0.0000 0.0000 0.8011 1
Ce2 Ce 0.0000 0.0000 0.1989 1
Tb1 Tb 0.5000 0.5000 0.5000 1
Zn1 Zn 0.5000 0.5000 0.0000 1

=====

No. 3
# Pr2HoAg, optimized geometry, DFT GGA-PBE
# - total magnetization (μB/f.u.) = 0.00
# - ΔH_f (0 K) (eV/atom) = -0.0889
data_Pr2HoAg
_chemical_formula_sum 'Pr2 Ho1 Ag1'
_cell_length_a 3.7282
_cell_length_b 3.7282
_cell_length_c 8.8165
_cell_angle_alpha 90.00
_cell_angle_beta 90.00
_cell_angle_gamma 90.00
_symmetry_space_group_name_H-M 'P 1'
_symmetry_Int_Tables_number 1
_symmetry_space_group_name_Hall 'P 1'
loop_
_atom_site_label
_atom_site_type_symbol
_atom_site_fract_x
_atom_site_fract_y
_atom_site_fract_z
_atom_site_occupancy
Pr1 Pr 0.0000 0.0000 0.7796 1
Pr2 Pr 0.0000 0.0000 0.2204 1
Ho1 Ho 0.5000 0.5000 0.5000 1
Ag1 Ag 0.5000 0.5000 0.0000 1

=====

No. 4
# VOsAu3, optimized geometry, DFT GGA-PBE
# - total magnetization (μB/f.u.) = 4.61
# - ΔH_f (0 K) (eV/atom) = 1.4749
data_VOsAu3
_chemical_formula_sum 'V1 Os1 Au3'
_cell_length_a 4.9970
_cell_length_b 4.9970
_cell_length_c 4.9970
_cell_angle_alpha 90.00
_cell_angle_beta 90.00
_cell_angle_gamma 90.00
_symmetry_space_group_name_H-M 'P 1'
_symmetry_Int_Tables_number 1
_symmetry_space_group_name_Hall 'P 1'
loop_
_atom_site_label
_atom_site_type_symbol
_atom_site_fract_x
_atom_site_fract_y
_atom_site_fract_z
_atom_site_occupancy
Os1 Os 0.0000 0.0000 0.0000 1
Au1 Au 0.5000 0.0000 0.0000 1
Au2 Au 0.0000 0.5000 0.0000 1
Au3 Au 0.0000 0.0000 0.5000 1
V1 V 0.5000 0.5000 0.5000 1

=====

No. 5
# Na2BiPd3, optimized geometry, DFT GGA-PBE
# - total magnetization (μB/f.u.) = 0.00
# - ΔH_f (0 K) (eV/atom) = -0.3064
data_Na2BiPd3
_chemical_formula_sum 'Na2 Bi1 Pd3'
_cell_length_a 5.4845
_cell_length_b 5.4845
_cell_length_c 5.4845
_cell_angle_alpha 62.81
_cell_angle_beta 62.81
_cell_angle_gamma 62.81
_symmetry_space_group_name_H-M 'P 1'
_symmetry_Int_Tables_number 1
_symmetry_space_group_name_Hall 'P 1'
loop_
_atom_site_label
_atom_site_type_symbol
_atom_site_fract_x
_atom_site_fract_y
_atom_site_fract_z
_atom_site_occupancy
Na1 Na 0.3788 0.3788 0.3788 1
Na2 Na 0.6212 0.6212 0.6212 1
Bi1 Bi 0.0000 0.0000 0.0000 1
Pd1 Pd 0.0000 0.5000 0.0000 1
Pd2 Pd 0.0000 0.0000 0.5000 1
Pd3 Pd 0.5000 0.0000 0.0000 1

=====

No. 6
# Li2CaTa, optimized geometry, DFT GGA-PBE
# - total magnetization (μB/f.u.) = 0.00
# - ΔH_f (0 K) (eV/atom) = 0.5651
data_Li2CaTa
_chemical_formula_sum 'Li2 Ca1 Ta1'
_cell_length_a 2.9033
_cell_length_b 2.9033
_cell_length_c 10.7850
_cell_angle_alpha 90.00
_cell_angle_beta 90.00
_cell_angle_gamma 107.88
_symmetry_space_group_name_H-M 'P 1'
_symmetry_Int_Tables_number 1
_symmetry_space_group_name_Hall 'P 1'
loop_
_atom_site_label
_atom_site_type_symbol
_atom_site_fract_x
_atom_site_fract_y
_atom_site_fract_z
_atom_site_occupancy
Li1 Li 0.0000 0.0000 0.4766 1
Li2 Li 0.0000 0.0000 0.0234 1
Ca1 Ca 0.5000 0.5000 0.7500 1
Ta1 Ta 0.5000 0.5000 0.2500 1